Record 1
Material: TaCu2ReMo
Method: DFT, PBE
State: relaxed

Cell and atoms, written as extended XYZ:
```
5
Lattice="4.5163 0.0000 0.0000 0.0000 4.5163 0.0000 0.0000 0.0000 4.6225" Properties=species:S:1:pos:R:3 pbc="T T T"
Ta 0.0000 0.0000 0.0000
Cu 0.0000 2.2581 2.3112
Cu 2.2581 0.0000 2.3112
Re 2.2581 2.2581 0.0000
Mo 2.2581 2.2581 2.3112
```

## Properties
VASP energy	-6.8989	eV/atom


Record 2
Material: TiCuReMo
Method: DFT, PBE
State: relaxed

Cell and atoms, written as extended XYZ:
```
4
Lattice="0.0000 3.0992 3.0992 3.0992 0.0000 3.0992 3.0992 3.0992 0.0000" Properties=species:S:1:pos:R:3 pbc="T T T"
Ti 0.0000 0.0000 0.0000
Cu 4.6488 4.6488 4.6488
Re 1.5496 1.5496 1.5496
Mo 3.0992 3.0992 3.0992
```

## Properties
VASP energy	-8.8674	eV/atom


Record 3
Material: CuMo3Rh
Method: DFT, PBE
State: relaxed

Cell and atoms, written as extended XYZ:
```
5
Lattice="4.4551 0.0000 0.0000 0.0000 4.4551 0.0000 0.0000 0.0000 4.4551" Properties=species:S:1:pos:R:3 pbc="T T T"
Cu 0.0000 0.0000 0.0000
Mo 0.0000 0.0000 2.2276
Mo 0.0000 2.2276 0.0000
Mo 2.2276 0.0000 0.0000
Rh 2.2276 2.2276 2.2276
```

## Properties
VASP energy	-7.1746	eV/atom
energy above the most stable polymorph in this dataset	0	meV/atom


Record 4
Material: CuMo2Rh7
Method: DFT, PBE
State: relaxed

Cell and atoms, written as extended XYZ:
```
10
Lattice="4.0166 -7.5833 0.0000 4.0166 7.5833 0.0000 0.0000 0.0000 2.6873" Properties=species:S:1:pos:R:3 pbc="T T T"
Cu 0.0000 0.0000 0.0000
Mo 4.0166 2.6028 1.3437
Mo 4.0166 -2.6028 1.3437
Rh 1.8321 1.4513 1.3437
Rh 4.0166 4.8161 0.0000
Rh 1.8321 -1.4513 1.3437
Rh 4.0166 0.0000 1.3437
Rh 6.2011 1.4513 1.3437
Rh 4.0166 -4.8161 0.0000
Rh 6.2011 -1.4513 1.3437
```

## Properties
VASP energy	-7.3446	eV/atom


Record 5
Material: Cu2MoRh2
Method: DFT, PBE
State: relaxed

Cell and atoms, written as extended XYZ:
```
10
Lattice="6.9379 0.0000 0.0000 0.0000 6.9379 0.0000 0.0000 0.0000 2.8671" Properties=species:S:1:pos:R:3 pbc="T T T"
Cu 0.8691 2.5998 0.0000
Cu 2.5998 6.0688 0.0000
Cu 4.3381 0.8691 0.0000
Cu 6.0688 4.3381 0.0000
Mo 0.0000 0.0000 0.0000
Mo 3.4690 3.4690 0.0000
Rh 1.1945 4.6635 1.4336
Rh 2.2744 1.1945 1.4336
Rh 4.6635 5.7434 1.4336
Rh 5.7434 2.2744 1.4336
```

## Properties
VASP energy	-6.5432	eV/atom


Record 6
Material: CuMoRh
Method: DFT, PBE
State: relaxed

Cell and atoms, written as extended XYZ:
```
12
Lattice="0.0000 6.1809 6.4106 2.4083 0.0000 6.4106 2.4083 6.1809 0.0000" Properties=species:S:1:pos:R:3 pbc="T T T"
Cu 0.6021 1.5452 0.4869
Cu 0.6021 1.5452 2.7184
Cu 4.2145 10.8166 10.1028
Cu 4.2145 10.8166 12.3343
Mo 2.4083 3.0904 3.2053
Mo 1.2041 6.1809 3.2053
Mo 1.2041 3.0904 6.4106
Mo 2.4083 6.1809 6.4106
Rh 1.8062 0.8507 4.8080
Rh 3.0104 3.9411 8.0133
Rh 1.8062 8.4207 4.8080
Rh 3.0104 11.5111 8.0133
```

## Properties
VASP energy	-6.7105	eV/atom
energy above the most stable polymorph in this dataset	767	meV/atom


Record 7
Material: CuMoRh4
Method: DFT, PBE
State: relaxed

Cell and atoms, written as extended XYZ:
```
6
Lattice="0.0000 3.5693 3.5693 3.5693 0.0000 3.5693 3.5693 3.5693 0.0000" Properties=species:S:1:pos:R:3 pbc="T T T"
Cu 0.0000 0.0000 0.0000
Mo 5.3540 5.3540 5.3540
Rh 2.6743 2.6743 2.6743
Rh 4.4643 4.4643 2.6743
Rh 4.4643 2.6743 4.4643
Rh 2.6743 4.4643 4.4643
```

## Properties
VASP energy	-7.1255	eV/atom
energy above the most stable polymorph in this dataset	287	meV/atom


Record 8
Material: CuMoRh
Method: DFT, PBE
State: relaxed

Cell and atoms, written as extended XYZ:
```
3
Lattice="-1.3939 1.3939 5.4392 1.3939 -1.3939 5.4392 1.3939 1.3939 -5.4392" Properties=species:S:1:pos:R:3 pbc="T T T"
Cu 0.0000 0.0000 0.0000
Mo 0.0000 0.0000 7.2789
Rh 0.0000 0.0000 3.6543
```

## Properties
VASP energy	-7.3913	eV/atom
energy above the most stable polymorph in this dataset	86	meV/atom


Number 1: calculated formation energy 40.7 kcal/mol of atoms. Number 2: calculated formation energy -1.1 kcal/mol of atoms. Number 3: calculated formation energy 37.2 kcal/mol of atoms. Number 4: calculated formation energy 8.7 kcal/mol of atoms. Number 5: calculated formation energy 4.7 kcal/mol of atoms. Number 6: calculated formation energy 16.5 kcal/mol of atoms. Number 7: calculated formation energy 6.1 kcal/mol of atoms. Number 8: calculated formation energy 0.8 kcal/mol of atoms.